#w
# VSbOsI2 (PBE, optimized geometry)
data_VSbOsI2
_chemical_formula_sum 'V1 Sb1 Os1 I2'
_cell_length_a 5.520
_cell_length_b 5.520
_cell_length_c 5.001
_cell_angle_alpha 90.00
_cell_angle_beta 90.00
_cell_angle_gamma 90.00
_space_group_name_H-M_alt 'P 4/m m m'
_space_group_IT_number 123
_space_group_name_Hall '-P 4 2'
loop_
_atom_site_label
_atom_site_fract_x
_atom_site_fract_y
_atom_site_fract_z
V1 0.000 0.000 0.000
Sb1 0.500 0.500 0.000
Os1 0.500 0.500 0.500
I1 0.000 0.500 0.500
# - D(E_F) (states/eV/f.u.) = 9.1

#x
# VSbOsI2 (PBE, optimized geometry)
data_VSbOsI2
_chemical_formula_sum 'V1 Sb1 Os1 I2'
_cell_length_a 5.178
_cell_length_b 5.178
_cell_length_c 5.377
_cell_angle_alpha 90.00
_cell_angle_beta 90.00
_cell_angle_gamma 90.00
_space_group_name_H-M_alt 'P 4/m m m'
_space_group_IT_number 123
_space_group_name_Hall '-P 4 2'
loop_
_atom_site_label
_atom_site_fract_x
_atom_site_fract_y
_atom_site_fract_z
V1 0.000 0.000 0.000
Sb1 0.000 0.000 0.500
Os1 0.500 0.500 0.500
I1 0.000 0.500 0.000
# - D(E_F) (states/eV/f.u.) = 8.1

Most stable structure, least stable structure: #w, #x.